First-principles (PBE with a Hubbard U) data for a relaxed NbAs2WF crystal, as listed in Alexandria.

Cell and atoms, written as POSCAR:
```
NbAs2WF
1.0
5.0866 0.0000 0.0000
0.0000 4.0154 0.0000
0.0000 0.0000 5.0866
W As F Nb
1 2 1 1
direct
0.0000 0.0000 0.0000
0.0000 0.0000 0.5000
0.5000 0.0000 0.0000
0.0000 0.5000 0.0000
0.5000 0.5000 0.5000
```

Output
- D(E_F): 4.1 states/eV/cell
- Magnetization: 4.121 Bohr magnetons per cell
- SG: No. 123
- Total energy: -5.5667 eV per atom